[1]
A plane-wave DFT calculation with PBE was carried out for crystalline DyErB5 at its relaxed geometry.

Calculated values
Calculated total energy: -6.509 eV/atom
Space-group type: Imm2
Magnetization: 0.00 Bohr magnetons per cell

Unit cell a=5.3382 b=5.3382 c=5.3382 alpha=144.43 beta=102.63 gamma=88.16
Fractional positions:
Dy (0.0000, 0.0000, 0.0000)
Er (0.5088, 0.5088, 0.0000)
B (0.1203, 0.7579, 0.3624)
B (0.3956, 0.7579, 0.6376)
B (0.5202, 0.2569, 0.2633)
B (0.7531, 0.2531, 0.5000)
B (0.9936, 0.2569, 0.7367)

[2]
A plane-wave DFT calculation with PBE was carried out for crystalline DyErB4 at its relaxed geometry.

Calculated values
Calculated total energy: -6.572 eV/atom
Space-group type: P6/mmm
Magnetization: 0.01 Bohr magnetons per cell

Unit cell a=3.2831 b=3.2831 c=7.6510 alpha=90.00 beta=90.00 gamma=120.00
Fractional positions:
Dy (0.0000, 0.0000, 0.0000)
Er (0.0000, 0.0000, 0.5000)
B (0.3333, 0.6667, 0.2529)
B (0.3333, 0.6667, 0.7471)
B (0.6667, 0.3333, 0.2529)
B (0.6667, 0.3333, 0.7471)

[3]
A plane-wave DFT calculation with PBE was carried out for crystalline DyErB at its relaxed geometry.

Calculated values
Calculated total energy: -5.224 eV/atom
Space-group type: F-43m
Polymorph energy (0 for the lowest one): 0.00 eV/f.u.
Magnetization: 0.01 Bohr magnetons per cell

Unit cell a=4.5021 b=4.5021 c=4.5021 alpha=60.00 beta=60.00 gamma=60.00
Fractional positions:
Dy (0.0000, 0.0000, 0.0000)
Er (0.5000, 0.5000, 0.5000)
B (0.2500, 0.2500, 0.2500)

[4]
A plane-wave DFT calculation with PBE was carried out for crystalline DyErFe8B2 at its relaxed geometry.

Calculated values
Calculated total energy: -7.658 eV/atom
Space-group type: P6/mmm
Polymorph energy (0 for the lowest one): 0.04 eV/f.u.
Magnetization: 15.11 Bohr magnetons per cell

Unit cell a=5.0443 b=5.0443 c=7.0268 alpha=90.00 beta=90.00 gamma=120.00
Fractional positions:
Dy (0.0000, 0.0000, 0.0000)
Er (0.0000, 0.0000, 0.5000)
Fe (0.0000, 0.5000, 0.2143)
Fe (0.0000, 0.5000, 0.7857)
Fe (0.3333, 0.6667, 0.5000)
Fe (0.5000, 0.0000, 0.2143)
Fe (0.5000, 0.0000, 0.7857)
Fe (0.5000, 0.5000, 0.2143)
Fe (0.5000, 0.5000, 0.7857)
Fe (0.6667, 0.3333, 0.5000)
B (0.3333, 0.6667, 0.0000)
B (0.6667, 0.3333, 0.0000)

[5]
A plane-wave DFT calculation with PBE was carried out for crystalline DyErFe8B2 at its relaxed geometry.

Calculated values
Calculated total energy: -7.661 eV/atom
Space-group type: P6/mmm
Polymorph energy (0 for the lowest one): 0.00 eV/f.u.
Magnetization: 15.08 Bohr magnetons per cell

Unit cell a=5.0411 b=5.0411 c=7.0199 alpha=90.00 beta=90.00 gamma=120.00
Fractional positions:
Dy (0.0000, 0.0000, 0.0000)
Er (0.0000, 0.0000, 0.5000)
Fe (0.0000, 0.5000, 0.2862)
Fe (0.0000, 0.5000, 0.7138)
Fe (0.3333, 0.6667, 0.0000)
Fe (0.5000, 0.0000, 0.2862)
Fe (0.5000, 0.0000, 0.7138)
Fe (0.5000, 0.5000, 0.2862)
Fe (0.5000, 0.5000, 0.7138)
Fe (0.6667, 0.3333, 0.0000)
B (0.3333, 0.6667, 0.5000)
B (0.6667, 0.3333, 0.5000)

[6]
A plane-wave DFT calculation with PBE was carried out for crystalline DyErFe2Ni6B2 at its relaxed geometry.

Calculated values
Calculated total energy: -6.441 eV/atom
Space-group type: P6/mmm
Polymorph energy (0 for the lowest one): 0.05 eV/f.u.
Magnetization: 5.15 Bohr magnetons per cell

Unit cell a=5.0030 b=5.0030 c=6.9911 alpha=90.00 beta=90.00 gamma=120.00
Fractional positions:
Dy (0.0000, 0.0000, 0.0000)
Er (0.0000, 0.0000, 0.5000)
Fe (0.3333, 0.6667, 0.5000)
Fe (0.6667, 0.3333, 0.5000)
Ni (0.0000, 0.5000, 0.2069)
Ni (0.0000, 0.5000, 0.7931)
Ni (0.5000, 0.0000, 0.2069)
Ni (0.5000, 0.0000, 0.7931)
Ni (0.5000, 0.5000, 0.2069)
Ni (0.5000, 0.5000, 0.7931)
B (0.3333, 0.6667, 0.0000)
B (0.6667, 0.3333, 0.0000)

[7]
A plane-wave DFT calculation with PBE was carried out for crystalline DyErFe2Ni6B2 at its relaxed geometry.

Calculated values
Calculated total energy: -6.445 eV/atom
Space-group type: P6/mmm
Polymorph energy (0 for the lowest one): 0.00 eV/f.u.
Magnetization: 5.00 Bohr magnetons per cell

Unit cell a=4.9924 b=4.9924 c=7.0047 alpha=90.00 beta=90.00 gamma=120.00
Fractional positions:
Dy (0.0000, 0.0000, 0.0000)
Er (0.0000, 0.0000, 0.5000)
Fe (0.3333, 0.6667, 0.0000)
Fe (0.6667, 0.3333, 0.0000)
Ni (0.0000, 0.5000, 0.2937)
Ni (0.0000, 0.5000, 0.7063)
Ni (0.5000, 0.0000, 0.2937)
Ni (0.5000, 0.0000, 0.7063)
Ni (0.5000, 0.5000, 0.2937)
Ni (0.5000, 0.5000, 0.7063)
B (0.3333, 0.6667, 0.5000)
B (0.6667, 0.3333, 0.5000)

[8]
A plane-wave DFT calculation with PBE was carried out for crystalline DyErB2Ir2N2 at its relaxed geometry.

Calculated values
Calculated total energy: -8.268 eV/atom
Space-group type: P4mm
Magnetization: 0.00 Bohr magnetons per cell

Unit cell a=3.7372 b=3.7372 c=7.4156 alpha=90.00 beta=90.00 gamma=90.00
Fractional positions:
Dy (0.0000, 0.0000, 0.0000)
Er (0.5000, 0.5000, 0.3241)
B (0.0000, 0.0000, 0.5059)
B (0.5000, 0.5000, 0.8188)
Ir (0.0000, 0.5000, 0.6618)
Ir (0.5000, 0.0000, 0.6618)
N (0.0000, 0.0000, 0.3048)
N (0.5000, 0.5000, 0.0205)